(1)
{
  "formula": "Ho2TcPbO8",
  "functional": "PBE-GGA",
  "state": "relaxed",
  "energy_ev_per_atom": -7.363,
  "raw_formation_energy_kj_per_mol_fu": -2457,
  "sg": "Cmmm",
  "lattice": [[4.989, -0.076, -0.003], [-0.056, 4.988, -0.005], [0.004, 0.007, 6.840]],
  "species": ["Ho", "O", "O", "O", "O", "O", "O", "O", "Pb", "O", "Ho", "Tc"],
  "fractional_positions": [[0.500, 0.500, 0.245], [0.310, 0.309, 0.500], [0.817, 0.184, 0.792], [0.726, 0.727, 0.000], [0.183, 0.816, 0.208], [0.183, 0.816, 0.792], [0.274, 0.273, 0.000], [0.690, 0.691, 0.500], [0.000, 0.000, 0.500], [0.817, 0.184, 0.208], [0.500, 0.500, 0.755], [0.000, 0.000, 0.000]]
}



(2)
{
  "formula": "NaH6Br",
  "functional": "PBE-GGA",
  "state": "relaxed",
  "energy_ev_per_atom": -3.282,
  "sg": "P-1",
  "lattice": [[5.822, 0.238, 0.096], [-3.090, 1.919, 2.002], [-0.487, -2.539, 9.195]],
  "species": ["H", "H", "H", "Br", "H", "H", "Na", "H"],
  "fractional_positions": [[0.252, 0.481, 0.325], [0.151, 0.261, 0.306], [0.446, 0.892, 0.543], [0.000, 0.000, 0.000], [0.748, 0.519, 0.675], [0.554, 0.108, 0.457], [0.500, 0.000, 0.000], [0.849, 0.739, 0.694]]
}



(3)
{
  "formula": "HoAl4Ni",
  "functional": "PBE-GGA",
  "state": "relaxed",
  "formation_energy_ev_per_atom": -0.550,
  "energy_ev_per_atom": -4.772,
  "sg": "P2_1/m",
  "lattice": [[-1.201, -3.687, -1.182], [5.768, -0.857, -3.187], [3.659, -1.174, 6.940]],
  "species": ["Al", "Al", "Al", "Ho", "Al", "Al", "Al", "Ni", "Al", "Al", "Ho", "Ni"],
  "fractional_positions": [[0.424, 0.250, 0.849], [0.576, 0.750, 0.151], [0.000, 0.000, 0.000], [0.618, 0.250, 0.237], [0.811, 0.053, 0.623], [0.811, 0.447, 0.623], [0.000, 0.500, 0.000], [0.727, 0.750, 0.454], [0.189, 0.553, 0.377], [0.189, 0.947, 0.377], [0.382, 0.750, 0.763], [0.273, 0.250, 0.546]]
}



(4)
{
  "formula": "MgAuBr",
  "functional": "PBE-GGA",
  "state": "relaxed",
  "e_above_lowest_polymorph_ev_per_atom": 0.1712,
  "energy_ev_per_atom": -2.714,
  "raw_formation_energy_kj_per_mol_fu": -154,
  "sg": "Fmm2",
  "lattice": [[-5.521, -0.633, -4.133], [-6.594, -1.500, -1.121], [-1.441, 2.983, 0.023]],
  "species": ["Br", "Mg", "Au"],
  "fractional_positions": [[0.294, 0.294, 0.706], [0.667, 0.667, 0.333], [0.039, 0.039, 0.961]]
}



(5)
{
  "formula": "Sb2PBr",
  "functional": "PBE-GGA",
  "state": "relaxed",
  "e_above_lowest_polymorph_ev_per_atom": 0.4598,
  "energy_ev_per_atom": -3.377,
  "raw_formation_energy_kj_per_mol_fu": 176,
  "sg": "P4/mmm",
  "lattice": [[5.053, 0.004, 0.000], [-0.006, 5.053, 0.000], [0.000, 0.000, 3.670]],
  "species": ["Br", "P", "Sb", "Sb"],
  "fractional_positions": [[0.500, 0.000, 0.500], [0.000, 0.500, 0.500], [0.000, 0.000, 0.000], [0.500, 0.500, 0.000]]
}



(6)
{
  "formula": "Dy2YPaN4",
  "functional": "PBE-GGA",
  "state": "relaxed",
  "energy_ev_per_atom": -9.012,
  "raw_formation_energy_kj_per_mol_fu": -1315,
  "sg": "P2/m",
  "lattice": [[-2.870, 0.846, -1.808], [-0.856, -5.792, -1.351], [-2.856, 1.276, 5.131]],
  "species": ["N", "Dy", "N", "Dy", "N", "Y", "Pa", "N"],
  "fractional_positions": [[0.000, 0.240, 0.759], [0.000, 0.500, 0.500], [0.000, 0.760, 0.241], [0.500, 0.000, 0.500], [0.500, 0.759, 0.758], [0.500, 0.500, 0.000], [0.000, 0.000, 0.000], [0.500, 0.241, 0.242]]
}



(7)
{
  "formula": "CeNd2ErSb5",
  "functional": "PBE-GGA",
  "state": "relaxed",
  "energy_ev_per_atom": -4.848,
  "raw_formation_energy_kj_per_mol_fu": -288,
  "sg": "P4/mmm",
  "lattice": [[-4.175, -2.402, -2.114], [3.185, -2.777, -3.133], [0.704, -8.425, 8.183]],
  "species": ["Sb", "Sb", "Ce", "Nd", "Sb", "Sb", "Er", "Sb", "Nd"],
  "fractional_positions": [[0.000, 0.000, 0.249], [0.500, 0.500, 0.000], [0.000, 0.000, 0.000], [0.500, 0.500, 0.721], [0.000, 0.500, 0.500], [0.000, 0.000, 0.751], [0.000, 0.000, 0.500], [0.500, 0.000, 0.500], [0.500, 0.500, 0.279]]
}



(8)
{
  "formula": "ZrTaMo2",
  "functional": "PBE-GGA",
  "state": "relaxed",
  "e_above_lowest_polymorph_ev_per_atom": 0.0913,
  "formation_energy_ev_per_atom": 0.017,
  "energy_ev_per_atom": -10.499,
  "sg": "Pm",
  "lattice": [[4.601, 0.000, 0.000], [0.000, 2.933, 0.002], [0.000, 1.110, 5.276]],
  "species": ["Mo", "Zr", "Ta", "Mo"],
  "fractional_positions": [[0.500, 0.239, 0.247], [0.500, 0.766, 0.754], [0.000, 0.482, 0.490], [0.000, 0.013, 0.009]]
}